[1]
! TlCuAu2 | Alexandria | GGA-PBE | relaxed; values from VASP
! Energy above the lowest structure with this stoichiometry ... 27 meV per atom
! VASP energy ... -3.168 eV per atom
! Crystal system ... trigonal
&SYSTEM
  ibrav = 0, nat = 4, ntyp = 3
/
ATOMIC_SPECIES
Tl 204.38 Tl.upf
Cu 63.55 Cu.upf
Au 196.97 Au.upf
CELL_PARAMETERS angstrom
4.381 0.000 0.000
2.191 3.794 0.000
2.191 1.265 4.975
ATOMIC_POSITIONS angstrom
Tl 4.381 2.529 2.589
Cu 6.572 3.794 4.845
Au 2.191 1.265 4.184
Au 2.190 1.265 0.820

=====

[2]
! Tl2CuAu | Alexandria | GGA-PBE | relaxed; values from VASP
! Energy above the lowest structure with this stoichiometry ... 140 meV per atom
! VASP energy ... -2.804 eV per atom
! Crystal system ... orthorhombic
&SYSTEM
  ibrav = 0, nat = 4, ntyp = 3
/
ATOMIC_SPECIES
Au 196.97 Au.upf
Cu 63.55 Cu.upf
Tl 204.38 Tl.upf
CELL_PARAMETERS angstrom
-0.523 -2.803 -2.124
2.942 1.108 -1.660
3.922 -3.983 4.292
ATOMIC_POSITIONS angstrom
Au 2.190 -1.843 -0.819
Cu 4.151 -3.835 1.328
Tl 3.875 -3.936 4.241
Tl 2.008 -2.039 2.198

=====

Repeat the second record exactly.
! Tl2CuAu | Alexandria | GGA-PBE | relaxed; values from VASP
! Energy above the lowest structure with this stoichiometry ... 140 meV per atom
! VASP energy ... -2.804 eV per atom
! Crystal system ... orthorhombic
&SYSTEM
  ibrav = 0, nat = 4, ntyp = 3
/
ATOMIC_SPECIES
Au 196.97 Au.upf
Cu 63.55 Cu.upf
Tl 204.38 Tl.upf
CELL_PARAMETERS angstrom
-0.523 -2.803 -2.124
2.942 1.108 -1.660
3.922 -3.983 4.292
ATOMIC_POSITIONS angstrom
Au 2.190 -1.843 -0.819
Cu 4.151 -3.835 1.328
Tl 3.875 -3.936 4.241
Tl 2.008 -2.039 2.198

=====

Repeat the second record exactly.
! Tl2CuAu | Alexandria | GGA-PBE | relaxed; values from VASP
! Energy above the lowest structure with this stoichiometry ... 140 meV per atom
! VASP energy ... -2.804 eV per atom
! Crystal system ... orthorhombic
&SYSTEM
  ibrav = 0, nat = 4, ntyp = 3
/
ATOMIC_SPECIES
Au 196.97 Au.upf
Cu 63.55 Cu.upf
Tl 204.38 Tl.upf
CELL_PARAMETERS angstrom
-0.523 -2.803 -2.124
2.942 1.108 -1.660
3.922 -3.983 4.292
ATOMIC_POSITIONS angstrom
Au 2.190 -1.843 -0.819
Cu 4.151 -3.835 1.328
Tl 3.875 -3.936 4.241
Tl 2.008 -2.039 2.198

=====

Please write out number 1 again, unchanged.
! TlCuAu2 | Alexandria | GGA-PBE | relaxed; values from VASP
! Energy above the lowest structure with this stoichiometry ... 27 meV per atom
! VASP energy ... -3.168 eV per atom
! Crystal system ... trigonal
&SYSTEM
  ibrav = 0, nat = 4, ntyp = 3
/
ATOMIC_SPECIES
Tl 204.38 Tl.upf
Cu 63.55 Cu.upf
Au 196.97 Au.upf
CELL_PARAMETERS angstrom
4.381 0.000 0.000
2.191 3.794 0.000
2.191 1.265 4.975
ATOMIC_POSITIONS angstrom
Tl 4.381 2.529 2.589
Cu 6.572 3.794 4.845
Au 2.191 1.265 4.184
Au 2.190 1.265 0.820

=====

Q: VASP energy of number 2 (Tl2CuAu)?
A: -2.804 eV per atom